! SmScNO PBE-GGA relaxed; values from VASP
&SYSTEM
  ibrav = 0, nat = 16, ntyp = 4
/
ATOMIC_SPECIES
N 14.01 N.upf
Sc 44.96 Sc.upf
O 16.00 O.upf
Sm 150.36 Sm.upf
ATOMIC_POSITIONS crystal
N 0.413 0.893 0.050
Sc 0.588 0.114 0.051
O 0.920 0.655 0.051
O 0.420 0.345 0.051
O 0.080 0.345 0.551
Sc 0.412 0.886 0.551
O 0.580 0.655 0.551
Sm 0.062 0.368 0.051
N 0.087 0.893 0.550
Sm 0.438 0.368 0.551
N 0.587 0.107 0.550
Sc 0.088 0.886 0.051
Sc 0.912 0.114 0.551
Sm 0.562 0.632 0.051
Sm 0.938 0.632 0.551
N 0.913 0.107 0.050
CELL_PARAMETERS angstrom
-5.568 -2.815 -1.565
1.645 -5.962 4.871
-2.190 2.333 3.595
! total DFT energy (no corrections) = -132.417 eV for the cell shown
! calculated density = 6.14 Mg/m³
! energy above the lowest structure with this stoichiometry = 8 meV/atom
! calculated volume = 15.24 Å³/atom

! SmScNO PBE-GGA relaxed; values from VASP
&SYSTEM
  ibrav = 0, nat = 8, ntyp = 4
/
ATOMIC_SPECIES
Sm 150.36 Sm.upf
N 14.01 N.upf
O 16.00 O.upf
Sc 44.96 Sc.upf
ATOMIC_POSITIONS crystal
Sm 0.000 0.438 0.322
N 0.000 0.938 0.290
N 0.000 0.438 0.710
O 0.500 0.940 0.857
O 0.500 0.440 0.143
Sc 0.500 0.937 0.183
Sm 0.000 0.938 0.678
Sc 0.500 0.437 0.817
CELL_PARAMETERS angstrom
4.026 0.000 0.000
0.000 4.903 0.000
0.000 0.000 6.343
! total DFT energy (no corrections) = -65.998 eV for the cell shown
! calculated density = 5.98 Mg/m³
! energy above the lowest structure with this stoichiometry = 35 meV/atom
! calculated volume = 15.65 Å³/atom

! ScTaN2O PBE-GGA relaxed; values from VASP
&SYSTEM
  ibrav = 0, nat = 20, ntyp = 4
/
ATOMIC_SPECIES
Ta 180.95 Ta.upf
O 16.00 O.upf
N 14.01 N.upf
Sc 44.96 Sc.upf
ATOMIC_POSITIONS crystal
Ta 0.000 0.500 0.000
O 0.553 0.250 0.644
N 0.699 0.075 0.195
N 0.199 0.425 0.305
N 0.301 0.925 0.805
O 0.053 0.250 0.856
Ta 0.500 0.500 0.500
N 0.301 0.575 0.805
Sc 0.565 0.750 0.965
Sc 0.435 0.250 0.035
Sc 0.935 0.250 0.465
Sc 0.065 0.750 0.535
Ta 0.000 0.000 0.000
N 0.699 0.425 0.195
O 0.447 0.750 0.356
N 0.801 0.575 0.695
N 0.199 0.075 0.305
O 0.947 0.750 0.144
Ta 0.500 0.000 0.500
N 0.801 0.925 0.695
CELL_PARAMETERS angstrom
5.555 0.000 0.000
0.000 7.672 0.000
0.000 0.000 5.289
! total DFT energy (no corrections) = -196.295 eV for the cell shown
! calculated density = 7.95 Mg/m³
! calculated volume = 11.27 Å³/atom

> Which value of calculated density does entry 3 give?

7.95 Mg/m³